A relaxed structure of Ti6HgC. Source: Alexandria, functional GGA-PBE.

Calculated values
**DFT total energy**: -7.33 eV/atom
**Formation energy from the elements**: -165.8 kJ/mol of formula units

a b c (Å): 5.1699 5.1690 5.1691
angles (deg): 79.79 100.22 79.80
Sites, in units of the cell vectors:
Ti 0.2308 0.0820 0.3360
Ti 0.3360 0.7692 0.9182
Ti 0.9180 0.6640 0.2309
Ti 0.7692 0.9180 0.6640
Ti 0.0820 0.3360 0.7691
Ti 0.6640 0.2308 0.0818
C 0.0000 0.0000 0.0000
Hg 0.5000 0.5000 0.5000

***

A relaxed structure of Ti3HgC. Source: Alexandria, functional GGA-PBE.

Calculated values
**DFT total energy**: -7.01 eV/atom
**Formation energy from the elements**: -176.1 kJ/mol of formula units
**Polymorph energy (0 for the lowest one)**: 127 meV per atom

a b c (Å): 7.2461 9.1877 3.0739
angles (deg): 89.99 77.75 127.48
Sites, in units of the cell vectors:
Ti 0.1844 0.5816 0.5477
Ti 0.4062 0.9433 0.9369
Ti 0.9538 0.7308 0.6631
Ti 0.7007 0.8333 0.2895
Ti 0.4395 0.4925 0.9204
Ti 0.1695 0.1091 0.5551
Hg 0.9136 0.2129 0.1833
Hg 0.6736 0.3686 0.3033
C 0.4380 0.7241 0.9209
C 0.0768 0.9246 0.1015

***

A relaxed structure of Ti3HgC. Source: Alexandria, functional GGA-PBE.

Calculated values
**DFT total energy**: -5.70 eV/atom
**Formation energy from the elements**: 456.6 kJ/mol of formula units
**Polymorph energy (0 for the lowest one)**: 1438 meV per atom

a b c (Å): 4.0664 4.0664 13.6249
angles (deg): 90.00 90.00 120.00
Site moments in Bohr magnetons follow the coordinates.
Sites, in units of the cell vectors:
Hg 0.3333 0.6667 0.7500  -0.02
Hg 0.6667 0.3333 0.2500  -0.02
C 0.0000 0.0000 0.5000  -0.04
C 0.0000 0.0000 0.0000  -0.04
Ti 0.3333 0.6667 0.9469  0.33
Ti 0.3333 0.6667 0.5531  0.33
Ti 0.0000 0.0000 0.7500  -0.14
Ti 0.6667 0.3333 0.0531  0.33
Ti 0.6667 0.3333 0.4469  0.33
Ti 0.0000 0.0000 0.2500  -0.14

***

A relaxed structure of Ti3HgC. Source: Alexandria, functional GGA-PBE.

Calculated values
**DFT total energy**: -6.38 eV/atom
**Formation energy from the elements**: 126.4 kJ/mol of formula units
**Polymorph energy (0 for the lowest one)**: 754 meV per atom

a b c (Å): 5.2548 5.2548 7.3590
angles (deg): 69.08 69.08 90.00
Sites, in units of the cell vectors:
Ti 0.6267 0.8875 0.2250
Ti 0.1125 0.8517 0.7750
Ti 0.7070 0.7070 0.5861
Ti 0.1483 0.8875 0.2250
Ti 0.1125 0.3733 0.7750
Ti 0.2930 0.2930 0.4139
Hg 0.6181 0.1181 0.7638
Hg 0.8819 0.3819 0.2362
C 0.0000 0.0000 0.0000
C 0.2500 0.7500 0.5000